# 1
# CsSmPbSe3 | Alexandria | GGA-PBE | relaxed
data_CsSmPbSe3
_symmetry_space_group_name_H-M 'C m c m'
_symmetry_Int_Tables_number 63
_symmetry_space_group_name_Hall '-C 2c 2'
_cell_length_a 4.2969
_cell_length_b 17.7612
_cell_length_c 12.2959
_cell_angle_alpha 90.00
_cell_angle_beta 90.00
_cell_angle_gamma 90.00
loop_
_atom_site_label
_atom_site_fract_x
_atom_site_fract_y
_atom_site_fract_z
_atom_site_occupancy
Cs1 0.0000 0.1887 0.2500 1
Sm1 0.0000 0.5000 0.0000 1
Pb1 0.0000 0.0973 0.7500 1
Se1 0.0000 0.1115 0.5090 1
Se2 0.0000 0.4898 0.7500 1
# * ΔE_f (raw): -1.216 eV/atom
# * density: 5.1 g cm⁻³
# * total energy: -108.12 eV for the cell shown

# 2
# LiSc2MnAl | Alexandria | GGA-PBE | relaxed
data_LiSc2MnAl
_symmetry_space_group_name_H-M 'P 4/m m m'
_symmetry_Int_Tables_number 123
_symmetry_space_group_name_Hall '-P 4 2'
_cell_length_a 4.7289
_cell_length_b 4.7289
_cell_length_c 4.7858
_cell_angle_alpha 90.00
_cell_angle_beta 90.00
_cell_angle_gamma 90.00
loop_
_atom_site_label
_atom_site_fract_x
_atom_site_fract_y
_atom_site_fract_z
_atom_site_occupancy
Li1 0.0000 0.0000 0.0000 1
Sc1 0.0000 0.5000 0.5000 1
Mn1 0.5000 0.5000 0.5000 1
Al1 0.5000 0.5000 0.0000 1
# * distance to the lowest polymorph of the same formula: 0.000 eV per atom
# * density: 2.8 g cm⁻³
# * total energy: -26.96 eV for the cell shown
# * energy relative to the elements: 105 meV/atom